Entry from Alexandria: a geometry-optimized LiCuIr2 structure (PBE).

Properties
Calculated formation energy in eV/atom: 0.1097
M_tot in μB/atom: 0.00

Cell: 4.687 4.687 2.630 Å, 90.00 90.00 111.97°
Element x y z (fractional)
Li1 0.000 0.000 0.000
Cu1 0.500 0.500 0.000
Ir1 0.000 0.500 0.500
Ir2 0.500 0.000 0.500

***

Entry from Alexandria: a geometry-optimized Li2Cu5Ir structure (PBE).

Properties
Calculated formation energy in eV/atom: -0.0476
M_tot in μB/atom: 0.00

Cell: 5.078 5.078 5.078 Å, 108.14 108.14 112.17°
Element x y z (fractional)
Li1 0.000 0.500 0.500
Li2 0.500 0.000 0.500
Cu1 0.000 0.000 0.000
Cu2 0.000 0.000 0.500
Cu3 0.000 0.500 0.000
Cu4 0.500 0.000 0.000
Cu5 0.500 0.500 0.500
Ir1 0.500 0.500 0.000

***

Entry from Alexandria: a geometry-optimized LiCuIr2 structure (PBE).

Properties
Calculated formation energy in eV/atom: -0.0443
M_tot in μB/atom: 0.00

Cell: 8.968 8.968 8.968 Å, 17.12 17.12 17.12°
Element x y z (fractional)
Li1 0.000 0.000 0.000
Cu1 0.500 0.500 0.500
Ir1 0.249 0.249 0.249
Ir2 0.751 0.751 0.751

***

Entry from Alexandria: a geometry-optimized Li2CuIr structure (PBE).

Properties
Calculated formation energy in eV/atom: 0.0811
M_tot in μB/atom: 0.00
Energy relative to the lowest polymorph listed for this composition in meV per atom: 198

Cell: 3.003 3.003 5.483 Å, 90.00 90.00 90.00°
Element x y z (fractional)
Li1 0.000 0.000 0.249
Li2 0.000 0.000 0.751
Cu1 0.500 0.500 0.000
Ir1 0.500 0.500 0.500

***

Which value of M_tot does entry 2 give?
0.00 μB/atom